No. 1
# Li2OsOF (PBE, optimized geometry)
# calculated volume	94.3	Å³/f.u.
# total moment	1.90	μB/f.u.
# E	-3.96	eV/atom
# uncorrected formation energy	0.420	eV/atom
data_Li2OsOF
_symmetry_space_group_name_H-M 'P 4/m m m'
_symmetry_Int_Tables_number 123
_symmetry_space_group_name_Hall '-P 4 2'
_cell_length_a 4.967
_cell_length_b 4.967
_cell_length_c 3.823
_cell_angle_alpha 90.00
_cell_angle_beta 90.00
_cell_angle_gamma 90.00
loop_
_atom_site_label
_atom_site_fract_x
_atom_site_fract_y
_atom_site_fract_z
_atom_site_occupancy
Li1 0.000 0.500 0.000 1
Os1 0.000 0.000 0.000 1
O1 0.500 0.500 0.500 1
F1 0.000 0.000 0.500 1



No. 2
# LiPOF2 (PBE, optimized geometry)
# ΔE to the lowest computed polymorph	600	meV per atom
# calculated volume	47.0	Å³/f.u.
# total moment	0.00	μB/f.u.
# E	-4.16	eV/atom
# uncorrected formation energy	-0.954	eV/atom
data_LiPOF2
_symmetry_space_group_name_H-M 'P 4/m m m'
_symmetry_Int_Tables_number 123
_symmetry_space_group_name_Hall '-P 4 2'
_cell_length_a 3.413
_cell_length_b 3.413
_cell_length_c 4.030
_cell_angle_alpha 90.00
_cell_angle_beta 90.00
_cell_angle_gamma 90.00
loop_
_atom_site_label
_atom_site_fract_x
_atom_site_fract_y
_atom_site_fract_z
_atom_site_occupancy
Li1 0.000 0.000 0.000 1
P1 0.500 0.500 0.500 1
O1 0.000 0.000 0.500 1
F1 0.000 0.500 0.000 1